Entry 1:
# Sc2MnPb | the Alexandria database | PBEsol | relaxed
# Energy of formation: -0.38 eV/f.u.
# Uncorrected energy: -6.84 eV/atom
# Space-group type: P4/mmm, No. 123
# M_tot: 0.6063 μB per atom
data_Sc2MnPb
_symmetry_space_group_name_H-M 'P 1'
_symmetry_Int_Tables_number 1
_cell_length_a 4.092
_cell_length_b 4.422
_cell_length_c 4.422
_cell_angle_alpha 90.00
_cell_angle_beta 90.00
_cell_angle_gamma 90.00
loop_
_symmetry_equiv_pos_as_xyz
'x,y,z'
loop_
_atom_site_label
_atom_site_type_symbol
_atom_site_fract_x
_atom_site_fract_y
_atom_site_fract_z
Mn1 Mn 0.500 0.500 0.500
Sc1 Sc 0.000 0.500 0.000
Pb1 Pb 0.500 0.000 0.000
Sc2 Sc 0.000 0.000 0.500


Entry 2:
# Ag7Pt3 | the Alexandria database | PBEsol | relaxed
# Energy of formation: 0.28 eV/f.u.
# Relative energy among the computed polymorphs: 3 meV per atom
# Uncorrected energy: -4.38 eV/atom
# Space-group type: Amm2, No. 38
# M_tot: 0.0000 μB per atom
data_Ag7Pt3
_symmetry_space_group_name_H-M 'P 1'
_symmetry_Int_Tables_number 1
_cell_length_a 4.013
_cell_length_b 4.031
_cell_length_c 10.061
_cell_angle_alpha 90.00
_cell_angle_beta 101.50
_cell_angle_gamma 90.00
loop_
_symmetry_equiv_pos_as_xyz
'x,y,z'
loop_
_atom_site_label
_atom_site_type_symbol
_atom_site_fract_x
_atom_site_fract_y
_atom_site_fract_z
Ag1 Ag 0.401 0.000 0.803
Pt1 Pt 0.100 0.500 0.199
Pt2 Pt 0.198 0.000 0.396
Pt3 Pt 0.502 0.500 0.004
Ag2 Ag 0.901 0.500 0.803
Ag3 Ag 0.798 0.000 0.596
Ag4 Ag 0.699 0.500 0.398
Ag5 Ag 0.299 0.500 0.598
Ag6 Ag 0.001 0.000 0.002
Ag7 Ag 0.600 0.000 0.200


Entry 3:
# MgBeTcB2 | the Alexandria database | PBEsol | relaxed
# Energy of formation: 3.32 eV/f.u.
# Uncorrected energy: -5.54 eV/atom
# Space-group type: P4/mmm, No. 123
# M_tot: 0.0000 μB per atom
data_MgBeTcB2
_symmetry_space_group_name_H-M 'P 1'
_symmetry_Int_Tables_number 1
_cell_length_a 4.050
_cell_length_b 4.050
_cell_length_c 4.166
_cell_angle_alpha 90.00
_cell_angle_beta 90.00
_cell_angle_gamma 90.00
loop_
_symmetry_equiv_pos_as_xyz
'x,y,z'
loop_
_atom_site_label
_atom_site_type_symbol
_atom_site_fract_x
_atom_site_fract_y
_atom_site_fract_z
B1 B 0.500 0.000 0.000
B2 B 0.000 0.500 0.000
Be1 Be 0.000 0.000 0.500
Mg1 Mg 0.500 0.500 0.500
Tc1 Tc 0.000 0.000 0.000


Entry 4:
# CaZn2Te | the Alexandria database | PBEsol | relaxed
# Uncorrected energy: -2.54 eV/atom
# Space-group type: Immm, No. 71
# Raw formation energy: -0.3359 eV per atom
# M_tot: 0.0000 μB per atom
data_CaZn2Te
_symmetry_space_group_name_H-M 'P 1'
_symmetry_Int_Tables_number 1
_cell_length_a 4.129
_cell_length_b 4.167
_cell_length_c 6.291
_cell_angle_alpha 109.34
_cell_angle_beta 109.16
_cell_angle_gamma 90.00
loop_
_symmetry_equiv_pos_as_xyz
'x,y,z'
loop_
_atom_site_label
_atom_site_type_symbol
_atom_site_fract_x
_atom_site_fract_y
_atom_site_fract_z
Zn1 Zn 0.251 0.251 0.503
Ca1 Ca 0.500 0.000 0.000
Zn2 Zn 0.749 0.749 0.497
Te1 Te 0.000 0.500 0.000


Among the records above, which one has the lowest uncorrected energy? Sc2MnPb